Record 1
# Zn2Cu2Bi

Zn2Cu2Bi after structural relaxation (PBE, Alexandria via LeMat-Bulk).

For the energy above the most stable polymorph in this dataset, the calculation gives 0.000 eV/atom.

It has space group I4/mmm (No. 139), with a = 3.775 Å, b = 3.775 Å, c = 12.117 Å, α = 90.00°, β = 90.00° and γ = 90.00°. The inequivalent atoms are Zn at (0.000, 0.500, 0.250), Cu at (0.000, 0.000, 0.105) and Bi at (0.000, 0.000, 0.500).

---

Record 2
# InGaBr2Cl

InGaBr2Cl after structural relaxation (PBE, Alexandria via LeMat-Bulk).

For the uncorrected formation energy, the calculation gives -15.58 kcal/mol of atoms.

It has space group P4/mmm (No. 123), with a = 5.441 Å, b = 5.441 Å, c = 5.052 Å, α = 90.00°, β = 90.00° and γ = 90.00°. The inequivalent atoms are In at (0.000, 0.000, 0.000), Ga at (0.500, 0.500, 0.500), Br at (0.000, 0.500, 0.500) and Cl at (0.500, 0.500, 0.000).

---

Record 3
# Ca2MnCu

Ca2MnCu after structural relaxation (PBE, Alexandria via LeMat-Bulk).

For the energy above the most stable polymorph in this dataset, the calculation gives 0.130 eV/atom.

It has space group Fm-3m (No. 225), with a = 7.271 Å, b = 7.271 Å, c = 7.271 Å, α = 90.00°, β = 90.00° and γ = 90.00°. The inequivalent atoms are Ca at (0.250, 0.250, 0.250), Mn at (0.000, 0.000, 0.000) and Cu at (0.000, 0.000, 0.500).

---

| no. | total moment (μB per formula unit) | raw total energy (eV per atom) | D(E_F) (states/eV/cell) |
| --- | --- | --- | --- |
| 1 | 0.000 | -2.83 | 3.8 |
| 2 | 0.000 | -2.87 | 1.5 |
| 3 | 3.668 | -4.02 | 18.1 |